Entry 1:
The following is a DFT calculation (PBE-GGA) of Na3Dy2ScO6 after structural relaxation.

a b c (Å): 5.8035 5.8035 5.8756
angles (deg): 99.40 99.40 120.04
Sites, in units of the cell vectors:
Dy1 0.3330 0.6670 0.0000
Dy2 0.6670 0.3330 0.0000
O1 0.7498 0.7498 0.2066
O2 0.0691 0.3877 0.2087
O3 0.3877 0.0691 0.2087
O4 0.6123 0.9309 0.7913
O5 0.9309 0.6123 0.7913
O6 0.2502 0.2502 0.7934
Na1 0.8399 0.1601 0.5000
Na2 0.5000 0.5000 0.5000
Na3 0.1601 0.8399 0.5000
Sc1 0.0000 0.0000 0.0000

Properties
E in eV per atom: -6.91
E_form (uncorrected) in eV/atom: -2.80
DOS at the Fermi energy in states/eV/f.u.: 0.0



Entry 2:
The following is a DFT calculation (PBE-GGA) of NaDySc4O8 after structural relaxation.

a b c (Å): 6.3910 6.3910 6.4122
angles (deg): 60.11 60.11 60.00
Sites, in units of the cell vectors:
Sc1 0.4974 0.0010 0.5006
Sc2 0.0010 0.4974 0.5006
Sc3 0.6196 0.6196 0.1412
Sc4 0.0010 0.0010 0.5006
O1 0.2506 0.7877 0.7111
O2 0.7412 0.7412 0.2825
O3 0.7562 0.7562 0.7314
O4 0.7877 0.2506 0.7111
O5 0.7412 0.2351 0.2825
O6 0.2393 0.2393 0.2822
O7 0.2351 0.7412 0.2825
O8 0.2506 0.2506 0.7111
Dy1 0.3802 0.3802 0.8594
Na1 0.9990 0.9990 0.0030

Properties
E in eV per atom: -8.33
E_form (uncorrected) in eV/atom: -3.26
DOS at the Fermi energy in states/eV/f.u.: 0.0



Entry 3:
The following is a DFT calculation (PBE-GGA) of Na3DySc2O6 after structural relaxation.

a b c (Å): 5.6611 5.6611 5.8301
angles (deg): 99.27 99.27 120.03
Sites, in units of the cell vectors:
O1 0.4163 0.0682 0.2049
O2 0.2797 0.2797 0.7933
O3 0.0682 0.4163 0.2049
O4 0.7203 0.7203 0.2067
O5 0.9318 0.5837 0.7951
O6 0.5837 0.9318 0.7951
Na1 0.8290 0.1710 0.5000
Na2 0.5000 0.5000 0.5000
Na3 0.1710 0.8290 0.5000
Dy1 0.0000 0.0000 0.0000
Sc1 0.6666 0.3334 0.0000
Sc2 0.3334 0.6666 0.0000

Properties
E in eV per atom: -7.07
E_form (uncorrected) in eV/atom: -2.82
DOS at the Fermi energy in states/eV/f.u.: 0.0



Entry 4:
The following is a DFT calculation (PBE-GGA) of Na3Dy3SiO8 after structural relaxation.

a b c (Å): 6.5783 6.5781 6.7139
angles (deg): 119.33 90.00 120.00
Sites, in units of the cell vectors:
O1 0.2627 0.5254 0.2881
O2 0.7986 0.5971 0.3133
O3 0.7373 0.4746 0.7119
O4 0.7986 0.0148 0.3133
O5 0.2014 0.9852 0.6867
O6 0.2162 0.0148 0.3133
O7 0.2014 0.4029 0.6867
O8 0.7838 0.9852 0.6867
Dy1 0.5000 0.5000 0.5000
Dy2 0.5000 0.0000 0.5000
Dy3 0.0000 0.5000 0.5000
Na1 0.5000 0.5000 0.0000
Na2 0.0000 0.0000 0.0000
Na3 0.0000 0.5000 0.0000
Si1 0.0000 0.0000 0.5000

Properties
E in eV per atom: -6.87
E_form (uncorrected) in eV/atom: -2.68
DOS at the Fermi energy in states/eV/f.u.: 0.0



Entry 5:
The following is a DFT calculation (PBE-GGA) of NaDySiO4 after structural relaxation.

a b c (Å): 5.7352 5.5353 6.8761
angles (deg): 90.00 90.24 90.00
Sites, in units of the cell vectors:
O1 0.4739 0.2500 0.8114
O2 0.1271 0.5176 0.3238
O3 0.4261 0.7500 0.5603
O4 0.8729 0.4824 0.6762
O5 0.8729 0.0176 0.6762
O6 0.1271 0.9824 0.3238
O7 0.5261 0.7500 0.1886
O8 0.5739 0.2500 0.4397
Si1 0.6921 0.2500 0.6582
Si2 0.3079 0.7500 0.3418
Na1 0.6014 0.7500 0.8657
Na2 0.3986 0.2500 0.1343
Dy1 0.8037 0.7500 0.4289
Dy2 0.1963 0.2500 0.5711

Properties
E in eV per atom: -7.32
E_form (uncorrected) in eV/atom: -2.87
DOS at the Fermi energy in states/eV/f.u.: 0.0



Entry 6:
The following is a DFT calculation (PBE-GGA) of NaDySi2O6 after structural relaxation.

a b c (Å): 7.0626 7.0626 5.4659
angles (deg): 102.29 102.29 86.56
Sites, in units of the cell vectors:
O1 0.5454 0.7020 0.1610
O2 0.0933 0.6284 0.8198
O3 0.1607 0.1475 0.9675
O4 0.6284 0.0933 0.3198
O5 0.8525 0.8393 0.5325
O6 0.1475 0.1607 0.4675
O7 0.8393 0.8525 0.0325
O8 0.7020 0.5454 0.6610
O9 0.9067 0.3716 0.1802
O10 0.2980 0.4546 0.3390
O11 0.3716 0.9067 0.6802
O12 0.4546 0.2980 0.8390
Na1 0.8134 0.1866 0.7500
Na2 0.1866 0.8134 0.2500
Si1 0.1269 0.2926 0.2414
Si2 0.2926 0.1269 0.7414
Si3 0.8731 0.7074 0.7586
Si4 0.7074 0.8731 0.2586
Dy1 0.6142 0.3858 0.2500
Dy2 0.3858 0.6142 0.7500

Properties
E in eV per atom: -7.56
E_form (uncorrected) in eV/atom: -2.91
DOS at the Fermi energy in states/eV/f.u.: 0.0



Entry 7:
The following is a DFT calculation (PBE-GGA) of Na2SmDyO4 after structural relaxation.

a b c (Å): 3.4810 6.0315 5.9520
angles (deg): 109.75 90.00 90.00
Sites, in units of the cell vectors:
O1 0.0000 0.7318 0.2119
O2 0.5000 0.7560 0.7864
O3 0.0000 0.2682 0.7881
O4 0.5000 0.2440 0.2136
Na1 0.0000 0.5000 0.5000
Na2 0.5000 0.0000 0.5000
Dy1 0.5000 0.5000 0.0000
Sm1 0.0000 0.0000 0.0000

Properties
E in eV per atom: -6.71
E_form (uncorrected) in eV/atom: -2.73
DOS at the Fermi energy in states/eV/f.u.: 0.0



Entry 8:
The following is a DFT calculation (PBE-GGA) of Na4Dy3SnO8 after structural relaxation.

a b c (Å): 6.8400 6.8583 6.8405
angles (deg): 119.91 120.00 90.00
Sites, in units of the cell vectors:
Dy1 0.5000 0.5000 0.5000
Dy2 0.0000 0.5000 0.5000
Dy3 0.5000 0.5000 0.0000
Na1 0.0000 0.0000 0.5000
Na2 0.0000 0.0000 0.0000
Na3 0.5000 0.0000 0.5000
Na4 0.5000 0.0000 0.0000
Sn1 0.0000 0.5000 0.0000
O1 0.7621 0.2868 0.5243
O2 0.2626 0.2868 0.0248
O3 0.7374 0.7132 0.9752
O4 0.2379 0.7132 0.4757
O5 0.7621 0.2868 0.0248
O6 0.2638 0.2913 0.5276
O7 0.2379 0.7132 0.9752
O8 0.7362 0.7087 0.4724

Properties
E in eV per atom: -6.36
E_form (uncorrected) in eV/atom: -2.44
DOS at the Fermi energy in states/eV/f.u.: 1.6



Entry 9:
The following is a DFT calculation (PBE-GGA) of Na2Dy2SnO6 after structural relaxation.

a b c (Å): 5.8318 5.8318 5.9157
angles (deg): 98.15 98.15 119.91
Sites, in units of the cell vectors:
O1 0.7564 0.7564 0.6985
O2 0.3709 0.0477 0.6963
O3 0.6291 0.9523 0.3037
O4 0.9523 0.6291 0.3037
O5 0.0477 0.3709 0.6963
O6 0.2436 0.2436 0.3015
Na1 0.1559 0.8441 0.0000
Na2 0.8441 0.1559 0.0000
Dy1 0.3353 0.6647 0.5000
Dy2 0.6647 0.3353 0.5000
Sn1 0.0000 0.0000 0.5000

Properties
E in eV per atom: -6.60
E_form (uncorrected) in eV/atom: -2.46
DOS at the Fermi energy in states/eV/f.u.: 0.0